(1)
## LiB3C3 (PBE-GGA)

Data for a geometry-optimized LiB3C3 structure.

```
LiB3C3
1.0
2.3321 1.3464 7.5637
-2.3321 1.3464 7.5637
0.0000 -2.6929 7.5637
Li B C
2 6 6
Direct
0.0000 0.0000 0.0000
0.5000 0.5000 0.5000
0.0814 0.7500 0.4186
0.2500 0.5814 0.9186
0.4186 0.0814 0.7500
0.5814 0.9186 0.2500
0.7500 0.4186 0.0814
0.9186 0.2500 0.5814
0.0848 0.4152 0.7500
0.2500 0.9152 0.5848
0.4152 0.7500 0.0848
0.5848 0.2500 0.9152
0.7500 0.0848 0.4152
0.9152 0.5848 0.2500
```

Results
**Excess energy over the best structure of this formula in the dataset**: 97 meV/atom
**Magnetic moment**: 0.00 μB/f.u.

=====

(2)
## LiB3C3 (PBE-GGA)

Data for a geometry-optimized LiB3C3 structure.

```
LiB3C3
1.0
6.7807 -1.3741 0.0000
6.7807 1.3741 0.0000
-3.5642 0.0000 6.0710
Li B C
2 6 6
Direct
0.1571 0.1571 0.0515
0.8429 0.8429 0.9485
0.0155 0.0155 0.2697
0.2881 0.2881 0.6232
0.3624 0.3624 0.2895
0.6376 0.6376 0.7105
0.7119 0.7119 0.3768
0.9845 0.9845 0.7303
0.1538 0.1538 0.3936
0.1831 0.1831 0.6663
0.4538 0.4538 0.2230
0.5462 0.5462 0.7770
0.8169 0.8169 0.3337
0.8462 0.8462 0.6064
```

Results
**Excess energy over the best structure of this formula in the dataset**: 0 meV/atom
**Magnetic moment**: 0.00 μB/f.u.

=====

(3)
## LiB6C6 (PBE-GGA)

Data for a geometry-optimized LiB6C6 structure.

```
LiB6C6
1.0
2.7313 0.0000 0.0000
-1.3657 2.3654 0.0000
0.0000 0.0000 17.1989
Li B C
1 6 6
Direct
0.0000 0.0000 0.0000
0.3333 0.6667 0.1014
0.3333 0.6667 0.4073
0.3333 0.6667 0.7068
0.6667 0.3333 0.2932
0.6667 0.3333 0.5927
0.6667 0.3333 0.8986
0.3333 0.6667 0.2910
0.3333 0.6667 0.5901
0.3333 0.6667 0.9016
0.6667 0.3333 0.0984
0.6667 0.3333 0.4099
0.6667 0.3333 0.7090
```

Results
**Excess energy over the best structure of this formula in the dataset**: 114 meV/atom
**Magnetic moment**: 0.00 μB/f.u.

=====

(4)
## LiB3C3 (PBE-GGA)

Data for a geometry-optimized LiB3C3 structure.

```
LiB3C3
1.0
2.3369 1.3492 7.7061
-2.3369 1.3492 7.7061
0.0000 -2.6984 7.7061
Li B C
2 6 6
Direct
0.1667 0.1667 0.1667
0.8333 0.8333 0.8333
0.0899 0.4212 0.7525
0.2475 0.9101 0.5788
0.4212 0.7525 0.0899
0.5788 0.2475 0.9101
0.7525 0.0899 0.4212
0.9101 0.5788 0.2475
0.0881 0.7577 0.4229
0.2423 0.5771 0.9119
0.4229 0.0881 0.7577
0.5771 0.9119 0.2423
0.7577 0.4229 0.0881
0.9119 0.2423 0.5771
```

Results
**Excess energy over the best structure of this formula in the dataset**: 119 meV/atom
**Magnetic moment**: 0.00 μB/f.u.

=====

(5)
## Li3B4C2 (PBE-GGA)

Data for a geometry-optimized Li3B4C2 structure.

```
Li3B4C2
1.0
4.9007 0.0000 0.0000
-2.4503 4.2441 0.0000
0.0000 0.0000 3.5042
Li B C
3 4 2
Direct
0.0000 0.6650 0.0000
0.3350 0.3350 0.0000
0.6650 0.0000 0.0000
0.0000 0.0000 0.5000
0.0000 0.3477 0.5000
0.3477 0.0000 0.5000
0.6523 0.6523 0.5000
0.3333 0.6667 0.5000
0.6667 0.3333 0.5000
```

Results
**Magnetic moment**: 0.00 μB/f.u.
**Final energy**: -0.43018 Ry/atom

=====

(6)
## LiB3C3 (PBE-GGA)

Data for a geometry-optimized LiB3C3 structure.

```
LiB3C3
1.0
4.6766 0.0000 0.0000
0.0000 4.6766 0.0000
0.0000 0.0000 4.6766
Li B C
2 6 6
Direct
0.0000 0.0000 0.0000
0.5000 0.5000 0.5000
0.0000 0.2500 0.5000
0.0000 0.7500 0.5000
0.2500 0.5000 0.0000
0.5000 0.0000 0.2500
0.5000 0.0000 0.7500
0.7500 0.5000 0.0000
0.0000 0.5000 0.2500
0.0000 0.5000 0.7500
0.2500 0.0000 0.5000
0.5000 0.2500 0.0000
0.5000 0.7500 0.0000
0.7500 0.0000 0.5000
```

Results
**Excess energy over the best structure of this formula in the dataset**: 254 meV/atom
**Magnetic moment**: 0.00 μB/f.u.